A plane-wave DFT calculation with PBE-GGA was carried out for crystalline BeAuCl2 at its relaxed geometry.

Properties
The final energy comes out at -8.59 eV for the cell shown.

Cell: 4.6996 4.6996 4.6996 Å, 60.00 60.00 60.00°
Sites, in units of the cell vectors:
Be1 0.0000 0.0000 0.0000
Au1 0.5000 0.5000 0.5000
Cl1 0.2500 0.2500 0.2500
Cl2 0.7500 0.7500 0.7500